No. 1
The following is a DFT calculation (PBE-GGA) of Sb3TeClO6 after structural relaxation.

Results
Theoretical density, g cm⁻³: 3.9
Spin magnetization, μB per atom: 0.000
Final energy, eV/atom: -5.497
Raw formation energy, eV per atom: -1.21

abc: 8.0819 8.0819 9.6626
angles: 58.56 58.56 29.78
With the nearest neighbours (Å) after each atom.
Atoms (fractional coordinates):
Sb1 0.1579 0.1579 0.5111  2 O 1.96-2.11
Sb2 0.1596 0.1596 0.1432  4 O 1.99-2.18
Sb3 0.8411 0.8411 0.8592  4 O 2.01-2.17
Te1 0.8373 0.8373 0.4954  2 O 1.89-1.95
Cl1 0.4960 0.4960 0.5004  2 O 3.12-3.36, 2 Te 3.25, 2 Sb 3.32
O1 0.7100 0.7100 0.5028  1 Te 1.95
O2 0.2986 0.2986 0.4930  1 Sb 2.11, 2 Te 2.17
O3 0.2947 0.2947 0.9213  3 Sb 2.04-2.17
O4 0.7061 0.7061 0.0753  3 Sb 2.01-2.18
O5 0.7732 0.7732 0.7268  1 Te 1.89, 1 Sb 2.06
O6 0.2253 0.2253 0.2715  2 Sb 1.96-1.99

---

No. 2
The following is a DFT calculation (PBE-GGA) of CsK4I5 after structural relaxation.

Results
Theoretical density, g cm⁻³: 3.1
Spin magnetization, μB per atom: 0.000
Final energy, eV/atom: -2.782
Raw formation energy, eV per atom: -1.48

abc: 5.1962 5.1962 18.6002
angles: 98.03 98.03 90.00
With the nearest neighbours (Å) after each atom.
Atoms (fractional coordinates):
Cs1 0.0000 0.0000 0.0000  6 I 3.67-3.83
K1 0.3970 0.3970 0.7939  6 I 3.57-3.76
K2 0.7983 0.7983 0.5966  6 I 3.52-3.67
K3 0.2017 0.2017 0.4034  6 I 3.52-3.67
K4 0.6030 0.6030 0.2061  6 I 3.57-3.76
I1 0.1051 0.1051 0.2101  5 K 3.52-3.68, 1 Cs 3.83
I2 0.5000 0.5000 0.0000  4 Cs 3.67, 2 K 3.76
I3 0.8949 0.8949 0.7899  5 K 3.52-3.68, 1 Cs 3.83
I4 0.2990 0.2990 0.5979  6 K 3.55-3.67
I5 0.7010 0.7010 0.4021  6 K 3.55-3.67

---

No. 3
The following is a DFT calculation (PBE-GGA) of AcSm7Tm12 after structural relaxation.

Results
Theoretical density, g cm⁻³: 7.8
Spin magnetization, μB per atom: 0.000
Final energy, eV/atom: -3.889
Energy of formation, eV per atom: 0.651

abc: 9.7252 9.7252 9.7252
angles: 109.47 109.47 109.47
With the nearest neighbours (Å) after each atom.
Atoms (fractional coordinates):
Ac1 0.0000 0.0000 0.0000  12 Tm 4.08
Sm1 0.5000 0.5000 0.0000  12 Tm 3.86-3.98
Sm2 0.0000 0.5000 0.5000  12 Tm 3.86-3.98
Sm3 0.5000 0.0000 0.5000  12 Tm 3.86-3.98
Sm4 0.5000 0.5000 0.5000  6 Tm 2.81
Sm5 0.0000 0.0000 0.5000  6 Tm 2.81
Sm6 0.5000 0.0000 0.0000  6 Tm 2.81
Sm7 0.0000 0.5000 0.0000  6 Tm 2.81
Tm1 0.4864 0.7436 0.7429  2 Sm 2.81
Tm2 0.0007 0.7436 0.2571  2 Sm 2.81
Tm3 0.5136 0.2564 0.2571  2 Sm 2.81
Tm4 0.9993 0.2564 0.7429  2 Sm 2.81
Tm5 0.7429 0.9993 0.2564  2 Sm 2.81
Tm6 0.7429 0.4864 0.7436  2 Sm 2.81
Tm7 0.2571 0.0007 0.7436  2 Sm 2.81
Tm8 0.2571 0.5136 0.2564  2 Sm 2.81
Tm9 0.7436 0.7429 0.4864  2 Sm 2.81
Tm10 0.2564 0.2571 0.5136  2 Sm 2.81
Tm11 0.7436 0.2571 0.0007  2 Sm 2.81
Tm12 0.2564 0.7429 0.9993  2 Sm 2.81